Entry 1:
# In2I2Br, optimized geometry, DFT PBE-GGA
data_In2I2Br
_cell_length_a 8.110
_cell_length_b 8.110
_cell_length_c 9.586
_cell_angle_alpha 110.83
_cell_angle_beta 110.83
_cell_angle_gamma 45.90
_symmetry_space_group_name_H-M 'P 1'
_symmetry_Int_Tables_number 1
loop_
_symmetry_equiv_pos_as_xyz
'x,y,z'
loop_
_atom_site_label
_atom_site_type_symbol
_atom_site_fract_x
_atom_site_fract_y
_atom_site_fract_z
In1 In 0.013 0.013 0.285
In2 In 0.322 0.322 0.895
In3 In 0.678 0.678 0.105
In4 In 0.987 0.987 0.715
I1 I 0.170 0.170 0.086
I2 I 0.488 0.488 0.748
I3 I 0.512 0.512 0.252
I4 I 0.830 0.830 0.914
Br1 Br 0.149 0.149 0.606
Br2 Br 0.851 0.851 0.394
# - Energy above the lowest structure with this stoichiometry: 44 meV/atom

=====

Entry 2:
Crystalline InIBr at its relaxed geometry. Source: Alexandria via LeMat-Bulk, functional PBE-GGA.

Cell and atoms, written as CIF:
```
data_InIBr
_cell_length_a 6.875
_cell_length_b 6.893
_cell_length_c 7.218
_cell_angle_alpha 112.40
_cell_angle_beta 114.65
_cell_angle_gamma 99.28
_symmetry_space_group_name_H-M 'P 1'
_symmetry_Int_Tables_number 1
loop_
_symmetry_equiv_pos_as_xyz
'x,y,z'
loop_
_atom_site_label
_atom_site_type_symbol
_atom_site_fract_x
_atom_site_fract_y
_atom_site_fract_z
In1 In 0.000 0.000 0.000
In2 In 0.486 0.490 0.997
I1 I 0.380 0.367 0.398
I2 I 0.968 0.983 0.601
Br1 Br 0.024 0.634 0.005
Br2 Br 0.628 0.016 0.996
```

=====

Calculated values (eV per atom) of formation energy without anion corrections for the records, taken in order: -0.496 -0.634.
Calculated values (μB per formula unit) of magnetic moment for the records, taken in order: 0.00 0.00.
Calculated values (g cm⁻³) of mass density for the records, taken in order: 4.5 4.0.